PBE LiPdCl, relaxed; DOS at the Fermi energy = 0.00 states/eV per atom; excess energy over the best structure of this formula in the dataset = 0.116 eV/atom; space-group type = Cm (8); uncorrected formation energy = -0.722 eV/atom
1.0
9.077 0.000 0.000
0.000 3.516 0.000
-3.381 0.000 7.052
Li Pd Cl
4 4 4
Direct
0.000 0.000 0.000
0.162 0.000 0.569
0.500 0.500 0.000
0.662 0.500 0.569
0.014 0.500 0.262
0.260 0.500 0.143
0.514 0.000 0.262
0.760 0.000 0.143
0.204 0.500 0.818
0.315 0.500 0.465
0.704 0.000 0.818
0.815 0.000 0.465